A relaxed Tb2HoCd3Ga3 crystal, computed with GGA-PBE.

Lattice parameters (Å, degrees): 4.4122 7.2616 7.2616 119.87 90.00 90.00
Fractional positions:
Cd: 0.5000 0.7504 0.0000
Cd: 0.5000 0.2496 0.2496
Cd: 0.5000 0.0000 0.7504
Ga: 0.5000 0.6661 0.3343
Ga: 0.5000 0.3343 0.6661
Ga: 0.0000 0.9986 0.9986
Ho: 0.0000 0.5764 0.5764
Tb: 0.0000 0.4244 0.0003
Tb: 0.0000 0.0003 0.4244

## Properties
For the mass density, the calculation gives 8.470 g/cm³. The value obtained for the raw total energy is -3.371 eV per atom.